# 1
DFT (PBE) results for a relaxed structure of AcY12Ho7.

Properties
Calculated volume = 36.80 A^3/atom
Crystal system = cubic
DOS(E_F) = 26.39 states/eV/cell
Polymorph energy (0 for the lowest one) = 425 meV/atom

Geometry as extended XYZ:
```
20
Lattice="-5.688 5.688 5.688 5.688 -5.688 5.688 5.688 5.688 -5.688" Properties=species:S:1:pos:R:3 pbc="T T T"
Ac 0.000 0.000 0.000
Y 5.688 -2.721 2.731
Y 2.967 2.957 0.000
Y 8.409 2.957 0.000
Y 2.731 5.688 -2.721
Y 2.957 0.000 2.967
Y 5.688 2.721 2.731
Y 0.000 2.967 2.957
Y 2.731 5.688 2.721
Y 2.957 0.000 8.409
Y -2.721 2.731 5.688
Y 2.721 2.731 5.688
Y 0.000 8.409 2.957
Ho 2.844 2.844 -2.844
Ho 2.844 -2.844 2.844
Ho 5.688 0.000 0.000
Ho -2.844 2.844 2.844
Ho 0.000 5.688 0.000
Ho 0.000 0.000 5.688
Ho 2.844 2.844 2.844
```

# 2
DFT (PBE) results for a relaxed structure of Ac4YHo2.

Properties
Calculated volume = 40.04 A^3/atom
Crystal system = orthorhombic
DOS(E_F) = 24.45 states/eV/cell
E = -4.374 eV per atom

Geometry as extended XYZ:
```
14
Lattice="0.000 11.934 3.503 6.705 0.000 3.503 6.705 11.934 0.000" Properties=species:S:1:pos:R:3 pbc="T T T"
Ac 8.298 14.227 1.740
Ac 5.113 9.642 1.740
Ac 4.945 3.674 3.492
Ac 8.280 9.656 3.503
Ac 8.465 20.194 3.492
Ac 5.131 14.213 3.503
Ac 11.632 20.180 5.254
Ac 8.483 15.623 5.254
Y 3.353 5.967 0.880
Y 6.705 11.934 6.134
Ho 6.705 6.584 2.626
Ho 10.058 12.551 4.377
Ho 6.705 17.285 2.626
Ho 3.353 11.318 4.377
```